[1]
KAuIBr2, optimized geometry, DFT GGA-PBE; ΔE_f (raw) = -3.5 eV/f.u.; symmetry = P4/mmm
1.0
-0.071 5.230 -1.577
-5.294 -0.454 -1.269
-1.399 1.571 5.275
I Br Au K
1 2 1 1
Direct
0.000 0.000 0.500 I
0.000 0.500 0.000 Br
0.500 0.000 0.000 Br
0.000 0.000 0.000 Au
0.500 0.500 0.500 K

***

[2]
SrCdW, optimized geometry, DFT GGA-PBE; distance to the lowest polymorph of the same formula = 13.0 kJ per mole of atoms; calculated formation energy = 0.939 eV/atom; symmetry = Imm2
1.0
-5.803 -2.542 -0.887
-3.386 -4.310 3.298
3.235 5.495 -0.505
Sr Cd W
1 1 1
Direct
0.669 0.669 0.000 Sr
0.967 0.967 0.000 Cd
0.363 0.363 0.000 W

***

[3]
ThNbS4, optimized geometry, DFT GGA-PBE; ΔE_f (raw) = -7.5 eV/f.u.; symmetry = P2_1/c
1.0
6.895 0.000 -1.376
0.000 6.418 0.000
-1.440 0.000 6.987
S Nb Th
8 2 2
Direct
0.338 0.685 0.611 S
0.399 0.857 0.155 S
0.162 0.185 0.389 S
0.601 0.143 0.845 S
0.662 0.315 0.389 S
0.838 0.815 0.611 S
0.899 0.643 0.155 S
0.101 0.357 0.845 S
0.500 0.000 0.500 Nb
0.000 0.500 0.500 Nb
0.000 0.000 0.000 Th
0.500 0.500 0.000 Th

***

no.,electronic total energy (eV for the cell shown)
1,-12.755
2,-12.733
3,-82.983